# PBE AgNClF, optimized geometry
# D(E_F) ... 5.97 states/eV/cell
# Excess energy over the best structure of this formula in the dataset ... 0.000 eV/atom
# Calculated total energy ... -3.66 eV/atom
# Uncorrected formation energy ... 0.063 eV/atom
data_AgNClF
_symmetry_space_group_name_H-M 'R 3 m'
_symmetry_Int_Tables_number 160
_symmetry_space_group_name_Hall 'R 3 -2"'
_cell_length_a 3.4694
_cell_length_b 3.4694
_cell_length_c 19.4951
_cell_angle_alpha 90.00
_cell_angle_beta 90.00
_cell_angle_gamma 120.00
loop_
_atom_site_label
_atom_site_fract_x
_atom_site_fract_y
_atom_site_fract_z
Ag1 0.0000 0.0000 0.0000
N1 0.0000 0.0000 0.6153
Cl1 0.0000 0.0000 0.5308
F1 0.0000 0.0000 0.3938


# PBE Na3Ag2Cl3F2, optimized geometry
# D(E_F) ... 0.00 states/eV/cell
# Calculated total energy ... -3.33 eV/atom
# Uncorrected formation energy ... -1.432 eV/atom
data_Na3Ag2Cl3F2
_symmetry_space_group_name_H-M 'I 4/m m m'
_symmetry_Int_Tables_number 139
_symmetry_space_group_name_Hall '-I 4 2'
_cell_length_a 4.281
_cell_length_b 4.281
_cell_length_c 23.617
_cell_angle_alpha 90.00
_cell_angle_beta 90.00
_cell_angle_gamma 90.00
loop_
_atom_site_label
_atom_site_fract_x
_atom_site_fract_y
_atom_site_fract_z
Na1 0.000 0.000 0.000
Na2 0.000 0.000 0.386
Ag1 0.000 0.500 0.250
Cl1 0.000 0.000 0.121
Cl2 0.000 0.000 0.500
F1 0.000 0.000 0.294


# PBE NaAg2Cl2F, optimized geometry
# D(E_F) ... 0.00 states/eV/cell
# Calculated total energy ... -3.22 eV/atom
# Uncorrected formation energy ... -1.119 eV/atom
data_NaAg2Cl2F
_symmetry_space_group_name_H-M 'C m c 21'
_symmetry_Int_Tables_number 36
_cell_length_a 12.349
_cell_length_b 6.659
_cell_length_c 6.523
_cell_angle_alpha 90.00
_cell_angle_beta 90.00
_cell_angle_gamma 90.00
loop_
_symmetry_equiv_pos_as_xyz
'x,y,z'
'-x,-y,z+1/2'
'-x,y,z'
'x,-y,z+1/2'
'x+1/2,y+1/2,z'
'-x+1/2,-y+1/2,z+1/2'
'-x+1/2,y+1/2,z'
'x+1/2,-y+1/2,z+1/2'
loop_
_atom_site_label
_atom_site_fract_x
_atom_site_fract_y
_atom_site_fract_z
Na1 0.000 0.037 0.000
Ag1 0.151 0.421 0.613
Cl1 0.157 0.229 0.263
F1 0.000 0.218 0.720